[1]
DFT (PBE) results for a geometry-optimized NdZnIn structure.

Summary:
Magnetization, μB/cell: 0.1
Total DFT energy (no corrections), eV per atom: -3.37

Unit cell a=4.7440 b=4.7440 c=7.5750 alpha=90.00 beta=90.00 gamma=120.00
Last column: nearest neighbours and their distance in Å.
Space group P6_3/mmc (No. 194)
Inequivalent atoms, fractional coordinates:
Nd 0.0000 0.0000 0.0000 [2 per cell]  6 In 3.33, 6 Zn 3.33
Zn 0.3333 0.6667 0.2500 [2 per cell]  3 In 2.74
In 0.3333 0.6667 0.7500 [2 per cell]  3 Zn 2.74

=====

[2]
DFT (PBE) results for a geometry-optimized NdZnIn structure.

Summary:
Magnetization, μB/cell: 0.1
Total DFT energy (no corrections), eV per atom: -3.37

Unit cell a=4.7264 b=4.7264 c=7.6472 alpha=90.00 beta=90.00 gamma=120.00
Last column: nearest neighbours and their distance in Å.
Space group P6_3/mmc (No. 194)
Inequivalent atoms, fractional coordinates:
Nd 0.0000 0.0000 0.0000 [2 per cell]  6 Zn 3.33, 6 In 3.33
Zn 0.3333 0.6667 0.2500 [2 per cell]  3 In 2.73
In 0.3333 0.6667 0.7500 [2 per cell]  3 Zn 2.73

=====

[3]
DFT (PBE) results for a geometry-optimized NdZnIn structure.

Summary:
Magnetization, μB/cell: 0.5
Total DFT energy (no corrections), eV per atom: -3.38

Unit cell a=7.6286 b=4.7657 c=8.0753 alpha=90.00 beta=90.00 gamma=90.00
Last column: nearest neighbours and their distance in Å.
Space group Pnma (No. 62)
Inequivalent atoms, fractional coordinates:
Nd 0.0053 0.2500 0.2196 [4 per cell]  6 Zn 3.21-3.54, 6 In 3.28-3.39
Zn 0.1945 0.7500 0.4177 [4 per cell]  3 In 2.75-2.76
In 0.2104 0.2500 0.5893 [4 per cell]  3 Zn 2.75-2.76

=====

[4]
DFT (PBE) results for a geometry-optimized NdZnIn structure.

Summary:
Magnetization, μB/cell: 0.0
Total DFT energy (no corrections), eV per atom: -3.18

Unit cell a=5.2335 b=5.2335 c=6.3820 alpha=90.00 beta=90.00 gamma=120.00
Last column: nearest neighbours and their distance in Å.
Space group P6_3/mmc (No. 194)
Inequivalent atoms, fractional coordinates:
Nd 0.3333 0.6667 0.2500 [2 per cell]  5 In 3.02-3.19
Zn 0.0000 0.0000 0.0000 [2 per cell]  2 Zn 3.19, 6 In 3.42, 6 Nd 3.42
In 0.3333 0.6667 0.7500 [2 per cell]  5 Nd 3.02-3.19